Here is a relaxed LiCa2Pt crystal from Alexandria via LeMat-Bulk. Energies are from GGA-PBE.

Results
For the density of states at the Fermi level, the calculation gives 2.2 states/eV/cell. The density comes out at 4.69 g/cm³. The calculated volume comes out at 100 Å³/f.u. For the calculated formation energy, the calculation gives -0.536 eV per atom.

Lattice parameters (Å, degrees): 4.3599 5.8047 5.8047 42.79 90.00 90.00
Last column: nearest neighbours and their distance in Å.
Fractional coordinates of all 4 atoms:
Li: 0.0000 0.0000 0.0000  2 Pt 2.56
Ca: 0.0000 0.6950 0.6950  3 Li 2.99-3.30, 4 Pt 3.13
Ca: 0.5000 0.4132 0.4132  3 Pt 3.11-3.12, 4 Li 3.18
Pt: 0.5000 0.1242 0.1242  2 Li 2.56